1.
Ta2NbSe5 after structural relaxation. Source: Alexandria via LeMat-Bulk, functional PBE.

Output
D(E_F)	14.27	states/eV/cell
calculated total energy	-218.9	eV for the cell shown
energy relative to the elements, uncorrected	-0.44	eV/atom
excess energy over the best structure of this formula in the dataset	95	meV per atom

Lattice parameters (Å, degrees): 4.7401 13.3973 13.7117 90.00 90.00 90.00
Closest atoms and distances in Å follow each position.
Space group Fmmm (No. 69)
One atom of each set of equivalent atoms:
Ta 0.0000 0.0000 0.1886 x8  3 Se 2.59-2.61
Nb 0.0000 0.0000 0.5000 x4  2 Se 2.37
Se 0.0000 0.0000 0.0000 x4  2 Nb 2.37, 2 Ta 2.59
Se 0.0000 0.1221 0.3369 x16  3 Ta 2.61-2.90, 1 Nb 2.77


2.
TaNb4Se8 after structural relaxation. Source: Alexandria via LeMat-Bulk, functional PBE.

Output
D(E_F)	19.58	states/eV/cell
calculated total energy	-265.5	eV for the cell shown
energy relative to the elements, uncorrected	-0.65	eV/atom

Lattice parameters (Å, degrees): 7.1217 7.1217 18.6533 90.00 90.00 120.00
Closest atoms and distances in Å follow each position.
Space group R-3m (No. 166, hexagonal axes)
One atom of each set of equivalent atoms:
Ta 0.0000 0.0000 0.0000 x3  6 Se 2.57
Nb 0.0000 0.0000 0.5000 x3  6 Se 2.60
Nb 0.0000 0.5000 0.5000 x9  6 Se 2.63-2.69
Se 0.0000 0.0000 0.2544 x6  3 Nb 2.63
Se 0.0127 0.5063 0.2570 x18  1 Ta 2.57, 3 Nb 2.60-2.69


3.
TaNb3Se6 after structural relaxation. Source: Alexandria via LeMat-Bulk, functional PBE.

Output
D(E_F)	48.73	states/eV/cell
calculated total energy	-406.9	eV for the cell shown
energy relative to the elements, uncorrected	-0.48	eV/atom

Lattice parameters (Å, degrees): 10.3914 10.3914 14.2537 90.00 90.00 120.00
Closest atoms and distances in Å follow each position.
Space group R-3 (No. 148, hexagonal axes)
One atom of each set of equivalent atoms:
Ta 0.0000 0.0000 0.0000 x3  6 Se 2.67
Ta 0.0000 0.0000 0.5000 x3  6 Se 2.57
Nb 0.0164 0.5722 0.3468 x18  4 Se 2.56-2.67
Se 0.0235 0.8234 0.8737 x18  2 Nb 2.56-2.58, 1 Ta 2.67
Se 0.0428 0.8357 0.3844 x18  1 Ta 2.57, 2 Nb 2.57-2.67


4.
TaNbTc2Se after structural relaxation. Source: Alexandria via LeMat-Bulk, functional PBE.

Output
D(E_F)	4.11	states/eV/cell
calculated total energy	-41.9	eV for the cell shown
energy relative to the elements, uncorrected	0.86	eV/atom

Lattice parameters (Å, degrees): 4.4871 4.4871 4.6830 90.00 90.00 90.00
Closest atoms and distances in Å follow each position.
Space group P4/mmm (No. 123)
One atom of each set of equivalent atoms:
Ta 0.0000 0.0000 0.0000 x1  4 Nb 3.17, 8 Tc 3.24
Nb 0.5000 0.5000 0.0000 x1  2 Se 2.34
Tc 0.0000 0.5000 0.5000 x2  2 Se 2.24
Se 0.5000 0.5000 0.5000 x1  4 Tc 2.24, 2 Nb 2.34


5.
TaNb2Te4Se2 after structural relaxation. Source: Alexandria via LeMat-Bulk, functional PBE.

Output
D(E_F)	11.04	states/eV/cell
calculated total energy	-56.5	eV for the cell shown
energy relative to the elements, uncorrected	-0.55	eV/atom

Lattice parameters (Å, degrees): 3.5872 3.5872 22.3401 90.00 90.00 120.00
Closest atoms and distances in Å follow each position.
Space group P3m1 (No. 156)
One atom of each set of equivalent atoms:
Ta 0.0000 0.0000 0.0000 x1  6 Se 2.64
Nb 0.0000 0.0000 0.6512 x1  6 Te 2.80-2.81
Nb 0.6667 0.3333 0.3221 x1  6 Te 2.80-2.81
Te 0.0000 0.0000 0.2369 x1  3 Nb 2.81
Te 0.0000 0.0000 0.4067 x1  3 Nb 2.80
Te 0.6667 0.3333 0.5666 x1  3 Nb 2.80
Te 0.6667 0.3333 0.7364 x1  3 Nb 2.81
Se 0.6667 0.3333 0.0735 x1  3 Ta 2.64
Se 0.6667 0.3333 0.9265 x1  3 Ta 2.64


6.
Ta2NbTe2Se4 after structural relaxation. Source: Alexandria via LeMat-Bulk, functional PBE.

Output
D(E_F)	10.15	states/eV/cell
calculated total energy	-60.1	eV for the cell shown
energy relative to the elements, uncorrected	-0.68	eV/atom

Lattice parameters (Å, degrees): 3.5128 3.5128 22.0971 90.00 90.00 120.00
Closest atoms and distances in Å follow each position.
Space group P3m1 (No. 156)
One atom of each set of equivalent atoms:
Ta 0.0000 0.0000 0.0000 x1  6 Se 2.62
Ta 0.3333 0.6667 0.3157 x1  6 Se 2.62
Nb 0.3333 0.6667 0.6708 x1  6 Te 2.81
Te 0.0000 0.0000 0.5830 x1  3 Nb 2.81
Te 0.0000 0.0000 0.7586 x1  3 Nb 2.81
Se 0.0000 0.0000 0.2403 x1  3 Ta 2.62
Se 0.0000 0.0000 0.3911 x1  3 Ta 2.62
Se 0.3333 0.6667 0.0754 x1  3 Ta 2.62
Se 0.3333 0.6667 0.9247 x1  3 Ta 2.62